Entry 1:
Computed, not measured: an optimized crystal structure of TaAlBr2 at the PBE-GGA level of DFT. Values from VASP.

```
&SYSTEM
  ibrav = 0, nat = 8, ntyp = 3
/
ATOMIC_SPECIES
Ta 180.95 Ta.upf
Al 26.98 Al.upf
Br 79.90 Br.upf
CELL_PARAMETERS angstrom
3.194 0.000 0.000
0.000 4.664 0.000
0.000 0.000 15.162
ATOMIC_POSITIONS crystal
Ta 0.000 0.000 0.000
Ta 0.500 0.500 0.500
Al 0.000 0.000 0.500
Al 0.500 0.500 0.000
Br 0.000 0.500 0.356
Br 0.000 0.500 0.644
Br 0.500 0.000 0.144
Br 0.500 0.000 0.856
```

* space-group type: No. 71
* VASP energy: -4.81 eV/atom
* total magnetic moment: 0.7 μB/cell
* E_form (uncorrected): -79 meV per atom


Entry 2:
Computed, not measured: an optimized crystal structure of TaAlBr3 at the PBE-GGA level of DFT. Values from VASP.

```
&SYSTEM
  ibrav = 0, nat = 5, ntyp = 3
/
ATOMIC_SPECIES
Ta 180.95 Ta.upf
Al 26.98 Al.upf
Br 79.90 Br.upf
CELL_PARAMETERS angstrom
5.223 0.000 0.000
0.000 5.223 0.000
0.000 0.000 5.223
ATOMIC_POSITIONS crystal
Ta 0.000 0.000 0.000
Al 0.500 0.500 0.500
Br 0.000 0.000 0.500
Br 0.000 0.500 0.000
Br 0.500 0.000 0.000
```

* space-group type: No. 221
* VASP energy: -3.98 eV/atom
* total magnetic moment: 1.3 μB/cell
* E_form (uncorrected): 145 meV per atom